Record 1
Here is an optimized crystal structure of TlFeRuPb2 from Alexandria. Energies are from PBE-GGA.

The energy relative to the elements is 836 meV per atom.

It has space group P4/mmm (No. 123), with a = 5.244 Å, b = 5.244 Å, c = 5.293 Å, α = 90.00°, β = 90.00° and γ = 90.00°. The distinct sites, in fractional coordinates, are Tl at (0.000, 0.000, 0.000), Fe at (0.500, 0.500, 0.000), Ru at (0.000, 0.000, 0.500) and Pb at (0.000, 0.500, 0.500).

---

Record 2
Here is an optimized crystal structure of PtRhN from Alexandria. Energies are from PBE-GGA.

Its relative energy among the computed polymorphs is 0.117 eV/atom. The uncorrected formation energy comes out at 0.87 eV per formula unit.

It has space group Cm (No. 8), with a = 10.155 Å, b = 2.777 Å, c = 7.276 Å, α = 90.00°, β = 129.16° and γ = 90.00°. The distinct sites, in fractional coordinates, are Pt at (0.000, 0.000, 0.000), Pt at (0.097, 0.500, 0.400), Rh at (0.292, 0.500, 0.205), Rh at (0.393, 0.000, 0.596), N at (0.126, 0.500, 0.702) and N at (0.261, 0.500, 0.904).

---

Record 3
Here is an optimized crystal structure of Na2TmIO6 from Alexandria. Energies are from PBE-GGA.

The uncorrected formation energy comes out at -16.88 eV per formula unit.

It has space group P2_1/c (No. 14), with a = 5.608 Å, b = 5.691 Å, c = 9.753 Å, α = 90.00°, β = 125.01° and γ = 90.00°. The distinct sites, in fractional coordinates, are Na at (0.244, 0.032, 0.251), Tm at (0.500, 0.000, 0.000), I at (0.000, 0.000, 0.500), O at (0.141, 0.228, 0.955), O at (0.231, 0.691, 0.959) and O at (0.313, 0.024, 0.730).

---

Record 4
Here is an optimized crystal structure of Na2Tl5Pd4 from Alexandria. Energies are from PBE-GGA.

The energy relative to the elements is -106 meV per atom.

It has space group C2/m (No. 12), with a = 11.637 Å, b = 6.430 Å, c = 7.282 Å, α = 90.00°, β = 109.95° and γ = 90.00°. The distinct sites, in fractional coordinates, are Na at (0.099, 0.000, 0.241), Tl at (0.000, 0.500, 0.000), Tl at (0.131, 0.255, 0.666), Pd at (0.172, 0.500, 0.372) and Pd at (0.242, 0.500, 0.015).

---

Record 5
Here is an optimized crystal structure of Nd3Dy6Y2Pu from Alexandria. Energies are from PBE-GGA.

The energy relative to the elements is 47 meV per atom.

It has space group C2/m (No. 12), with a = 6.189 Å, b = 10.724 Å, c = 11.780 Å, α = 90.00°, β = 100.11° and γ = 90.00°. The distinct sites, in fractional coordinates, are Nd at (0.000, 0.000, 0.000), Nd at (0.000, 0.333, 0.000), Dy at (0.246, 0.336, 0.745), Dy at (0.247, 0.500, 0.255), Y at (0.000, 0.167, 0.500) and Pu at (0.000, 0.500, 0.500).

---

Record 6
Here is an optimized crystal structure of CuReW3 from Alexandria. Energies are from PBE-GGA.

The energy relative to the elements is 1965 meV per atom. Its relative energy among the computed polymorphs is 0.000 eV/atom.

It has space group Pm-3m (No. 221), with a = 4.439 Å, b = 4.439 Å, c = 4.439 Å, α = 90.00°, β = 90.00° and γ = 90.00°. The distinct sites, in fractional coordinates, are Cu at (0.000, 0.000, 0.000), Re at (0.500, 0.500, 0.500) and W at (0.000, 0.000, 0.500).

---

Record 7
Here is an optimized crystal structure of CsRbSr2Hg from Alexandria. Energies are from PBE-GGA.

The energy relative to the elements is -65 meV per atom. Its relative energy among the computed polymorphs is 0.008 eV/atom.

It has space group P4/mmm (No. 123), with a = 6.535 Å, b = 6.535 Å, c = 7.408 Å, α = 90.00°, β = 90.00° and γ = 90.00°. The distinct sites, in fractional coordinates, are Cs at (0.000, 0.000, 0.000), Rb at (0.500, 0.500, 0.000), Sr at (0.000, 0.500, 0.500) and Hg at (0.000, 0.000, 0.500).

---

Record 8
Here is an optimized crystal structure of TaCd2Co from Alexandria. Energies are from PBE-GGA.

The energy relative to the elements is 460 meV per atom. Its relative energy among the computed polymorphs is 0.388 eV/atom.

It has space group Cmmm (No. 65), with a = 5.679 Å, b = 9.090 Å, c = 2.759 Å, α = 90.00°, β = 90.00° and γ = 90.00°. The distinct sites, in fractional coordinates, are Ta at (0.000, 0.000, 0.000), Cd at (0.250, 0.250, 0.500) and Co at (0.000, 0.500, 0.000).

---

Record 9
Here is an optimized crystal structure of RbHg2BiPd from Alexandria. Energies are from PBE-GGA.

The energy relative to the elements is -154 meV per atom.

It has space group P4/mmm (No. 123), with a = 5.423 Å, b = 5.423 Å, c = 5.470 Å, α = 90.00°, β = 90.00° and γ = 90.00°. The distinct sites, in fractional coordinates, are Rb at (0.000, 0.000, 0.000), Hg at (0.000, 0.500, 0.500), Bi at (0.500, 0.500, 0.000) and Pd at (0.500, 0.500, 0.500).

---

Record 10
Here is an optimized crystal structure of SiNiAsP from Alexandria. Energies are from PBE-GGA.

Its relative energy among the computed polymorphs is 0.092 eV/atom. The uncorrected formation energy comes out at -0.34 eV per formula unit.

It has space group P1 (No. 1), with a = 3.820 Å, b = 3.989 Å, c = 4.793 Å, α = 98.71°, β = 98.34° and γ = 101.99°. The distinct sites, in fractional coordinates, are Si at (0.000, 0.000, 0.000), Ni at (0.368, 0.406, 0.398), As at (0.420, 0.971, 0.665) and P at (0.860, 0.524, 0.221).

---

Record 11
Here is an optimized crystal structure of YEr2PaS4 from Alexandria. Energies are from PBE-GGA.

The uncorrected formation energy comes out at -14.88 eV per formula unit.

It has space group P2/m (No. 10), with a = 6.733 Å, b = 3.850 Å, c = 6.755 Å, α = 90.00°, β = 108.96° and γ = 90.00°. The distinct sites, in fractional coordinates, are Y at (0.000, 0.000, 0.000), Er at (0.000, 0.500, 0.500), Er at (0.500, 0.000, 0.500), Pa at (0.500, 0.500, 0.000), S at (0.247, 0.000, 0.744) and S at (0.251, 0.500, 0.255).

---

Record 12
Here is an optimized crystal structure of ErTc4Sn from Alexandria. Energies are from PBE-GGA.

The energy relative to the elements is -15 meV per atom.

It has space group F-43m (No. 216), with a = 7.502 Å, b = 7.502 Å, c = 7.502 Å, α = 90.00°, β = 90.00° and γ = 90.00°. The distinct sites, in fractional coordinates, are Er at (0.000, 0.000, 0.000), Tc at (0.124, 0.124, 0.376) and Sn at (0.250, 0.250, 0.750).

---

Record 13
Here is an optimized crystal structure of CsGaAgO2 from Alexandria. Energies are from PBE-GGA.

The uncorrected formation energy comes out at -5.48 eV per formula unit.

It has space group Cmme (No. 67), with a = 5.314 Å, b = 12.489 Å, c = 7.409 Å, α = 90.00°, β = 90.00° and γ = 90.00°. The distinct sites, in fractional coordinates, are Cs at (0.000, 0.250, 0.213), Ga at (0.250, 0.000, 0.000), Ag at (0.000, 0.000, 0.500) and O at (0.000, 0.086, 0.887).

---

Record 14
Here is an optimized crystal structure of La2SO from Alexandria. Energies are from PBE-GGA.

Its relative energy among the computed polymorphs is 0.000 eV/atom. The uncorrected formation energy comes out at -9.50 eV per formula unit.

It has space group Pmna (No. 53), with a = 5.630 Å, b = 5.630 Å, c = 10.832 Å, α = 90.00°, β = 90.00° and γ = 90.00°. The distinct sites, in fractional coordinates, are La at (0.000, 0.250, 0.108), La at (0.000, 0.250, 0.642), S at (0.000, 0.250, 0.375) and O at (0.000, 0.249, 0.875).

---

Record 15
Here is an optimized crystal structure of Hf2BiH3 from Alexandria. Energies are from PBE-GGA.

The value obtained for the total energy is -5.874 eV per atom.

It has space group P2_1/m (No. 11), with a = 3.349 Å, b = 3.603 Å, c = 13.462 Å, α = 90.00°, β = 92.41° and γ = 90.00°. The distinct sites, in fractional coordinates, are Hf at (0.211, 0.250, 0.086), Hf at (0.265, 0.750, 0.584), Bi at (0.287, 0.250, 0.775), H at (0.223, 0.250, 0.345), H at (0.252, 0.250, 0.511) and H at (0.272, 0.750, 0.007).

---

Record 16
Here is an optimized crystal structure of La2ScRu from Alexandria. Energies are from PBE-GGA.

The energy relative to the elements is 110 meV per atom. Its relative energy among the computed polymorphs is 0.246 eV/atom.

It has space group F-43m (No. 216), with a = 7.264 Å, b = 7.264 Å, c = 7.264 Å, α = 90.00°, β = 90.00° and γ = 90.00°. The distinct sites, in fractional coordinates, are La at (0.000, 0.000, 0.000), La at (0.250, 0.250, 0.250), Sc at (0.000, 0.000, 0.500) and Ru at (0.250, 0.250, 0.750).

---

Record 17
Here is an optimized crystal structure of BeRe2W from Alexandria. Energies are from PBE-GGA.

The energy relative to the elements is 137 meV per atom.

It has space group Cmmm (No. 65), with a = 3.094 Å, b = 4.412 Å, c = 8.181 Å, α = 90.00°, β = 90.00° and γ = 90.00°. The distinct sites, in fractional coordinates, are Be at (0.000, 0.000, 0.000), Re at (0.000, 0.500, 0.227) and W at (0.000, 0.000, 0.500).

---

Record 18
Here is an optimized crystal structure of Ca3CdGa2Au6 from Alexandria. Energies are from PBE-GGA.

The energy relative to the elements is -440 meV per atom.

It has space group P-3m1 (No. 164), with a = 5.9904 Å, b = 5.9904 Å, c = 8.9347 Å, α = 90.00°, β = 90.00° and γ = 120.00°. The distinct sites, in fractional coordinates, are Ca at (0.0000, 0.0000, 0.0000), Ca at (0.3333, 0.6667, 0.6182), Cd at (0.0000, 0.0000, 0.5000), Ga at (0.3333, 0.6667, 0.0128) and Au at (0.1748, 0.3496, 0.2659).

---

Record 19
Here is an optimized crystal structure of CsBi2Pb5 from Alexandria. Energies are from PBE-GGA.

The energy relative to the elements is -71 meV per atom.

It has space group Immm (No. 71), with a = 4.644 Å, b = 10.082 Å, c = 13.124 Å, α = 90.00°, β = 90.00° and γ = 90.00°. The distinct sites, in fractional coordinates, are Cs at (0.000, 0.000, 0.000), Bi at (0.000, 0.500, 0.259), Pb at (0.000, 0.180, 0.354) and Pb at (0.000, 0.500, 0.000).

---

Record 20
Here is an optimized crystal structure of Cs2BeAsBr6 from Alexandria. Energies are from PBE-GGA.

The uncorrected formation energy comes out at -9.22 eV per formula unit.

It has space group I4/mmm (No. 139), with a = 7.492 Å, b = 7.492 Å, c = 11.508 Å, α = 90.00°, β = 90.00° and γ = 90.00°. The distinct sites, in fractional coordinates, are Cs at (0.000, 0.500, 0.250), Be at (0.000, 0.000, 0.000), As at (0.000, 0.000, 0.500), Br at (0.000, 0.000, 0.270) and Br at (0.225, 0.225, 0.000).

---

Q: Which mass density values were calculated for the entries above? A: 8.9; 13.0; 5.7; 9.7; 7.9; 15.2; 3.1; 10.8; 8.3; 4.6; 7.8; 10.7; 4.6; 6.3; 11.6; 7.3; 16.8; 9.3; 8.6; 4.3, in g cm⁻³.